# LiMn2O4 (GGA+U, relaxed)
data_LiMn2O4
_chemical_formula_sum 'Li4 Mn8 O16'
_space_group_name_H-M_alt 'I b a m'
_space_group_IT_number 72
_space_group_name_Hall '-I 2 2c'
_cell_length_a 5.9973
_cell_length_b 7.5820
_cell_length_c 6.0040
_cell_angle_alpha 90.00
_cell_angle_beta 90.00
_cell_angle_gamma 90.00
loop_
_atom_site_label
_atom_site_type_symbol
_atom_site_fract_x
_atom_site_fract_y
_atom_site_fract_z
_atom_site_occupancy
Li1 Li 0.0000 0.0000 0.0000 1
Mn1 Mn 0.2500 0.2500 0.2500 1
O1 O 0.0023 0.2590 0.0000 1
O2 O 0.2157 0.0000 0.2500 1
# Density of states at the Fermi level   0.441 states/eV per atom
# Calculated volume   273 Å³/cell
# Energy   -46.32 eV per formula unit
# Energy above the most stable polymorph in this dataset   287.2 meV per atom